No. 1
12
Lattice="5.771 0.000 0.000 -0.004 6.465 0.000 -0.082 -3.198 7.674" Properties=species:S:1:pos:R:3 comment="Cd6In5Ag, relaxed, DFT GGA-PBE" crystal_system=triclinic delta_e_f_ev_per_atom=0.0299 energy_ev_per_atom=-1.81 pbc="T T T"
Cd -0.083 -1.627 7.672
Cd 5.767 4.894 0.002
Cd 1.907 1.600 2.488
Cd 1.909 4.887 2.482
Cd 3.775 -1.620 5.192
Cd 3.776 1.667 5.186
In 0.829 0.023 5.060
In 1.035 3.256 5.155
In 2.883 3.232 0.000
In 4.649 0.011 2.519
In 4.855 3.244 2.613
Ag 2.885 0.000 0.000


No. 2
9
Lattice="8.761 0.000 0.000 -4.381 7.588 0.000 0.000 0.000 3.203" Properties=species:S:1:pos:R:3 comment="Cd6In2Ag, relaxed, DFT GGA-PBE" de_polymorph_mev_per_atom=38.1 crystal_system=trigonal delta_e_f_ev_per_atom=0.0639 energy_ev_per_atom=-1.47 pbc="T T T"
Cd -1.406 2.435 0.743
Cd -2.975 5.152 2.460
Cd 2.812 0.000 0.743
Cd 1.406 2.435 2.460
Cd 5.949 0.000 2.460
Cd 2.975 5.152 0.743
In 0.000 5.058 1.602
In 4.381 2.529 1.602
Ag 0.000 0.000 0.000


No. 3
6
Lattice="4.653 0.000 0.000 -1.242 5.245 0.000 -0.136 -1.897 5.508" Properties=species:S:1:pos:R:3 comment="CdInAg, relaxed, DFT GGA-PBE" crystal_system=triclinic delta_e_f_ev_per_atom=0.0080 energy_ev_per_atom=-2.16 pbc="T T T"
Cd 0.490 1.851 0.594
Cd 2.786 1.497 4.913
In 0.588 3.446 4.006
In 2.688 -0.099 1.501
Ag 0.352 0.577 3.207
Ag 2.924 2.771 2.301


No. 4
7
Lattice="2.386 -9.691 0.000 2.386 9.691 0.000 0.000 0.000 3.269" Properties=species:S:1:pos:R:3 comment="Cd4InAg2, relaxed, DFT GGA-PBE" de_polymorph_mev_per_atom=23.5 crystal_system=orthorhombic delta_e_f_ev_per_atom=0.0144 energy_ev_per_atom=-1.71 pbc="T T T"
Cd 2.386 6.700 0.000
Cd 2.386 3.900 1.635
Cd 2.386 -3.900 1.635
Cd 2.386 -6.700 0.000
In 0.000 0.000 1.635
Ag 2.386 1.382 0.000
Ag 2.386 -1.382 0.000


No. 5
7
Lattice="4.626 0.000 0.000 2.103 4.420 0.000 1.341 0.763 8.179" Properties=species:S:1:pos:R:3 comment="Cd2In3Ag2, relaxed, DFT GGA-PBE" crystal_system=triclinic delta_e_f_ev_per_atom=0.0369 energy_ev_per_atom=-2.21 pbc="T T T"
Cd 1.814 1.208 3.604
Cd 6.256 3.974 4.575
In 0.000 0.000 0.000
In 3.728 2.195 5.937
In 4.341 2.987 2.242
Ag 2.233 1.569 0.764
Ag 5.836 3.613 7.415


No. 6
13
Lattice="2.867 1.655 10.684 -2.867 1.655 10.684 0.000 -3.310 10.684" Properties=species:S:1:pos:R:3 comment="Cd8In2Ag3, relaxed, DFT GGA-PBE" de_polymorph_mev_per_atom=83.6 crystal_system=trigonal delta_e_f_ev_per_atom=0.1150 energy_ev_per_atom=-1.53 pbc="T T T"
Cd 0.000 -1.658 12.481
Cd -1.436 0.829 12.481
Cd 0.000 0.000 7.290
Cd -1.436 -0.829 19.572
Cd 1.436 0.829 12.481
Cd 0.000 0.000 24.763
Cd 1.436 -0.829 19.572
Cd 0.000 1.658 19.572
In 0.000 0.000 4.495
In 0.000 0.000 27.558
Ag 0.000 0.000 10.076
Ag 0.000 0.000 16.027
Ag 0.000 0.000 21.977


No. 7
13
Lattice="2.769 1.599 10.415 -2.769 1.599 10.415 0.000 -3.198 10.415" Properties=species:S:1:pos:R:3 comment="Cd3In2Ag8, relaxed, DFT GGA-PBE" de_polymorph_mev_per_atom=47.3 crystal_system=trigonal delta_e_f_ev_per_atom=0.0643 energy_ev_per_atom=-2.32 pbc="T T T"
Cd 0.000 0.000 0.000
Cd 0.000 0.000 5.709
Cd 0.000 0.000 25.537
In 0.000 0.000 11.256
In 0.000 0.000 19.990
Ag -1.389 -0.802 17.574
Ag 0.000 -1.604 13.672
Ag -1.389 0.802 13.672
Ag 0.000 0.000 8.501
Ag 0.000 0.000 22.745
Ag 1.389 -0.802 17.574
Ag 0.000 1.604 17.574
Ag 1.389 0.802 13.672


No. 8
18
Lattice="5.517 -5.073 0.000 5.517 5.073 0.000 -4.188 0.000 6.231" Properties=species:S:1:pos:R:3 comment="Cd2InAg6, relaxed, DFT GGA-PBE" de_polymorph_mev_per_atom=19.6 crystal_system=monoclinic delta_e_f_ev_per_atom=0.0135 energy_ev_per_atom=-2.39 pbc="T T T"
Cd 0.202 0.925 2.619
Cd -1.892 -0.925 5.735
Cd 8.738 0.925 0.496
Cd 6.644 -0.925 3.612
In 2.376 1.596 4.673
In 4.470 -1.596 1.558
Ag 4.986 3.721 0.234
Ag -0.604 1.591 5.370
Ag 3.954 3.721 2.881
Ag 3.060 0.983 1.922
Ag 1.490 -1.591 2.254
Ag 0.966 -0.983 5.037
Ag 5.881 0.983 1.193
Ag 5.357 1.591 3.977
Ag 3.786 -0.983 4.309
Ag 2.892 -3.721 3.350
Ag 7.451 -1.591 0.861
Ag 1.860 -3.721 5.997


No. 9
12
Lattice="4.490 0.000 0.000 0.000 4.490 0.000 0.000 0.000 13.536" Properties=species:S:1:pos:R:3 comment="Cd9In2Ag, relaxed, DFT GGA-PBE" crystal_system=tetragonal delta_e_f_ev_per_atom=0.0235 energy_ev_per_atom=-1.36 pbc="T T T"
Cd 0.000 0.000 0.000
Cd 0.000 0.000 4.417
Cd 0.000 0.000 9.119
Cd 0.000 2.245 2.080
Cd 0.000 2.245 6.768
Cd 0.000 2.245 11.456
Cd 2.245 0.000 2.080
Cd 2.245 0.000 6.768
Cd 2.245 0.000 11.456
In 2.245 2.245 4.430
In 2.245 2.245 9.106
Ag 2.245 2.245 0.000


No. 10
12
Lattice="4.980 -6.899 0.000 4.980 6.899 0.000 -2.279 0.000 4.273" Properties=species:S:1:pos:R:3 comment="Cd5In6Ag, relaxed, DFT GGA-PBE" crystal_system=monoclinic delta_e_f_ev_per_atom=0.0315 energy_ev_per_atom=-1.96 pbc="T T T"
Cd 0.000 0.000 0.000
Cd 3.841 4.764 2.137
Cd 4.980 2.486 0.000
Cd 4.980 -2.486 0.000
Cd 3.841 -4.764 2.137
In 2.019 2.251 1.131
In 0.965 0.000 3.310
In 2.019 -2.251 1.131
In 5.664 2.251 3.142
In 6.717 0.000 0.963
In 5.664 -2.251 3.142
Ag 3.841 0.000 2.137


No. 11
19
Lattice="8.471 -3.066 0.000 8.471 3.066 0.000 -2.999 0.000 8.860" Properties=species:S:1:pos:R:3 comment="Cd12In2Ag5, relaxed, DFT GGA-PBE" crystal_system=monoclinic delta_e_f_ev_per_atom=0.0746 energy_ev_per_atom=-1.54 pbc="T T T"
Cd -0.626 0.000 3.007
Cd 2.417 1.477 7.794
Cd 4.627 1.516 3.701
Cd 6.316 0.000 1.599
Cd 9.316 1.516 5.159
Cd 11.526 1.477 1.066
Cd 2.417 -1.477 7.794
Cd 4.627 -1.516 3.701
Cd 7.627 0.000 7.261
Cd 9.316 -1.516 5.159
Cd 11.526 -1.477 1.066
Cd 14.569 0.000 5.853
In 8.471 1.581 0.000
In 8.471 -1.581 0.000
Ag -0.155 0.000 7.520
Ag 2.210 0.000 3.242
Ag 6.972 0.000 4.430
Ag 11.733 0.000 5.618
Ag 14.098 0.000 1.340


No. 12
11
Lattice="-1.632 4.488 8.408 1.632 -4.488 8.408 1.632 4.488 -8.408" Properties=species:S:1:pos:R:3 comment="Cd4In3Ag4, relaxed, DFT GGA-PBE" de_polymorph_mev_per_atom=11.6 crystal_system=orthorhombic delta_e_f_ev_per_atom=0.0312 energy_ev_per_atom=-2.09 pbc="T T T"
Cd 1.632 -2.742 5.617
Cd 0.000 1.746 2.792
Cd 1.632 2.742 5.617
Cd 0.000 7.230 2.792
In 1.632 0.000 0.000
In 0.000 0.000 6.814
In 0.000 0.000 10.003
Ag 1.632 0.000 4.400
Ag 0.000 2.447 0.000
Ag 0.000 6.529 0.000
Ag 0.000 4.488 4.008